Entry 1:
VASP calculation (PBE) on an optimized crystal structure of CuAgF2.

```
8
Lattice="-4.102 0.537 0.898 0.380 -4.212 4.256 3.176 4.245 1.989" Properties=species:S:1:pos:R:3 pbc="T T T"
Cu 0.400 -3.546 4.089
Cu 0.210 -1.440 1.961
Ag -0.063 -1.155 5.532
Ag 1.798 0.683 2.956
F 2.039 0.102 5.278
F -2.544 1.800 1.531
F -0.664 -0.527 3.289
F 0.158 2.430 3.520
```

## Properties
total magnetization	0.00	μB per cell
ΔE_f (raw)	-1.00	eV/atom
calculated density	5.40	g/cm3

=====

Entry 2:
VASP calculation (PBE) on an optimized crystal structure of Nb2ZnRh2.

```
10
Lattice="-4.538 4.838 -3.584 -5.195 -0.878 5.392 1.192 2.238 1.513" Properties=species:S:1:pos:R:3 pbc="T T T"
Nb -3.638 1.346 3.757
Nb -6.758 3.621 2.847
Nb -4.903 4.852 -0.435
Nb -1.784 2.577 0.474
Rh -6.206 1.029 3.367
Rh -7.220 3.660 0.272
Rh -3.526 2.930 -1.558
Rh -2.513 0.299 1.537
Zn 0.000 0.000 0.000
Zn -4.866 1.980 0.904
```

## Properties
density of states at the Fermi level	0.645	states/eV/atom
total magnetization	0.00	μB per cell
formation energy	-0.271	eV/atom
calculated density	9.04	g/cm3

=====

Entry 3:
VASP calculation (PBE) on an optimized crystal structure of Li2NpAg2Se4.

```
9
Lattice="-3.696 0.919 1.445 -3.129 -5.178 -4.714 4.171 -2.346 6.420" Properties=species:S:1:pos:R:3 pbc="T T T"
Li -0.898 -3.375 -0.152
Li -1.757 -3.229 3.302
Np 0.000 0.000 0.000
Ag -4.034 -5.134 -1.314
Ag 1.379 -1.470 4.464
Se 0.277 -2.047 2.009
Se -2.931 -4.558 1.141
Se -0.045 -5.513 3.390
Se -2.610 -1.091 -0.240
```

## Properties
density of states at the Fermi level	1.100	states/eV/atom
total magnetization	3.00	μB per cell
ΔE_f (raw)	-0.79	eV/atom
calculated density	6.31	g/cm3